(1)
The following is a DFT calculation (PBEsol) of an optimized crystal structure of CaSiAu2.

Geometry as POSCAR:
```
CaSiAu2
1.0
3.395 0.000 0.000
0.000 3.395 0.000
0.000 0.000 6.670
Au Ca Si
2 1 1
direct
0.000 0.000 0.713
0.000 0.000 0.287
0.500 0.500 0.000
0.500 0.500 0.500
```

Density of states at the Fermi level, states/eV/atom: 0.410
Theoretical density, Mg/m³: 9.980
Spin magnetization, μB/cell: 0.000
Uncorrected formation energy, eV/atom: -0.304
Final energy, Ha/atom: -0.1557

---

(2)
The following is a DFT calculation (PBEsol) of an optimized crystal structure of Mn2SeO.

Geometry as POSCAR:
```
Mn2SeO
1.0
-4.169 -3.094 -0.922
2.805 -2.726 -3.537
2.229 -0.271 5.908
Mn O Se
4 2 2
direct
0.455 0.875 0.250
0.795 0.375 0.250
0.125 0.205 0.750
0.625 0.545 0.750
0.750 0.250 0.500
0.500 0.500 0.000
0.250 0.750 0.500
0.000 0.000 0.000
```

Density of states at the Fermi level, states/eV/atom: 0.496
Theoretical density, Mg/m³: 4.793
Spin magnetization, μB/cell: 19.454
Uncorrected formation energy, eV/atom: -0.577
Final energy, Ha/atom: -0.2841

---

(3)
The following is a DFT calculation (PBEsol) of an optimized crystal structure of LiRuS2.

Geometry as POSCAR:
```
LiRuS2
1.0
-2.625 0.151 1.083
-0.526 -1.022 2.601
0.661 6.852 4.381
Ru S Li
1 2 1
direct
0.000 0.000 0.000
0.908 0.908 0.276
0.092 0.092 0.724
0.500 0.500 0.500
```

Density of states at the Fermi level, states/eV/atom: 0.637
Theoretical density, Mg/m³: 5.106
Spin magnetization, μB/cell: 0.000
Uncorrected formation energy, eV/atom: -0.150
Final energy, Ha/atom: -0.1976

---

Q: Look up the density of states at the Fermi level of the second one.
A: 0.496 states/eV/atom

---

Q: theoretical density of number 2 (Mn2SeO)?
A: 4.793 Mg/m³

---

Q: Which value of theoretical density does entry 2 give?
A: 4.793 Mg/m³